The following is a GGA-PBE calculation of PrPu2PaBi4 after structural relaxation, from the Alexandria database.

Lattice parameters (Å, degrees): 7.860 4.558 7.902 90.00 109.45 90.00
Space group P2/m (No. 10)
Symmetry-distinct sites (fractional):
Pr 0.000 0.000 0.000
Pu 0.500 0.000 0.500
Pu 0.500 0.500 0.000
Pa 0.000 0.500 0.500
Bi 0.247 0.000 0.743
Bi 0.252 0.500 0.258

Output
Energy of formation from the pure elements: -442.7 meV per atom
Total magnetization: 1.48 μB/atom

The following is a GGA-PBE calculation of Pr2PuPaBi4 after structural relaxation, from the Alexandria database.

Lattice parameters (Å, degrees): 7.908 4.564 7.951 90.00 109.26 90.00
Space group P2/m (No. 10)
Symmetry-distinct sites (fractional):
Pr 0.000 0.000 0.000
Pr 0.500 0.500 0.000
Pu 0.000 0.500 0.500
Pa 0.500 0.000 0.500
Bi 0.250 0.000 0.741
Bi 0.256 0.500 0.260

Output
Energy of formation from the pure elements: -590.7 meV per atom
Total magnetization: 0.80 μB/atom

The following is a GGA-PBE calculation of PrPaBiSb after structural relaxation, from the Alexandria database.

Lattice parameters (Å, degrees): 7.734 7.734 7.734 90.00 90.00 90.00
Space group F-43m (No. 216)
Symmetry-distinct sites (fractional):
Pr 0.000 0.000 0.000
Pa 0.000 0.000 0.500
Bi 0.250 0.250 0.750
Sb 0.250 0.250 0.250

Output
Formation energy (no corrections): -2.0 eV per formula unit
Total magnetization: 0.44 μB/atom